1.
A relaxed Ti3AgH3 crystal, computed with PBE.

Unit cell a=5.314 b=5.314 c=5.314 alpha=90.00 beta=90.00 gamma=90.00
Space group Pm-3n (No. 223)
Asymmetric unit:
Ti 0.000 0.250 0.500 [6 per cell]
Ag 0.000 0.000 0.000 [2 per cell]
H 0.000 0.500 0.250 [6 per cell]

total energy = -5.5244 eV per atom
ρ = 5.63 g cm⁻³
size of the total moment = 0.000 μB per atom

---

2.
A relaxed TiAg2H crystal, computed with PBE.

Unit cell a=6.966 b=6.966 c=4.762 alpha=90.00 beta=90.00 gamma=90.00
Space group I-42d (No. 122)
Asymmetric unit:
Ti 0.000 0.000 0.000 [4 per cell]
Ag 0.154 0.750 0.625 [8 per cell]
H 0.000 0.000 0.500 [4 per cell]

offset from the most stable computed form = 0 meV/atom
ρ = 7.61 g cm⁻³
size of the total moment = 0.201 μB per atom

---

3.
A relaxed TiAgH crystal, computed with PBE.

Unit cell a=2.9740 b=2.9740 c=4.9018 alpha=90.00 beta=90.00 gamma=120.00
Space group P3m1 (No. 156)
Asymmetric unit:
Ti 0.0000 0.0000 0.0000 [1 per cell]
Ag 0.6667 0.3333 0.4748 [1 per cell]
H 0.3333 0.6667 0.8586 [1 per cell]

offset from the most stable computed form = 0 meV/atom
ρ = 6.93 g cm⁻³
size of the total moment = 0.000 μB per atom